{"formula": "TaIn2Sb", "functional": "PBE", "state": "optimized geometry", "final_energy_ev_per_cell": -19.9, "m_tot_mub_per_cell": 0.00, "raw_formation_energy_mev_per_atom": 399, "cell": [[-1.5870, -3.4605, 4.3687], [4.2601, -1.8589, 3.4606], [-2.5023, 4.8035, -2.0601]], "species": ["In", "In", "Sb", "Ta"], "frac_coords": [[0.0058, 0.0058, 0.0000], [0.4942, 0.4942, 0.0000], [0.7500, 0.2500, 0.5000], [0.2500, 0.7500, 0.5000]]}